Entry 1:
Material: LiDy3Sc2S6
Method: DFT, PBE
State: optimized geometry

POSCAR file:
```
LiDy3Sc2S6
1.0
3.2957 -5.7177 0.0000
3.2957 5.7177 0.0000
-2.2113 0.0000 6.1866
Li Dy Sc S
1 3 2 6
Cartesian
0.0000 0.0000 0.0000 Li
2.1900 3.8342 3.0933 Dy
2.1900 0.0000 3.0933 Dy
2.1900 -3.8342 3.0933 Dy
3.2957 1.8912 0.0000 Sc
3.2957 -1.8912 0.0000 Sc
1.0865 1.8968 1.4546 S
-0.0332 0.0000 4.7582 S
1.0865 -1.8968 1.4546 S
3.2936 1.8968 4.7320 S
4.4133 0.0000 1.4283 S
3.2936 -1.8968 4.7320 S
```

N(E_F) (states/eV/atom): 0.43
Energy relative to the elements, uncorrected (kJ per mole of atoms): -184
DFT total energy (eV per atom): -6.341
Symmetry: C2/m (12)
Total magnetization (μB per formula unit): 0.00

Entry 2:
Material: CsNa2Sr
Method: DFT, PBE
State: optimized geometry

POSCAR file:
```
CsNa2Sr
1.0
2.2230 1.2835 13.4177
-2.2230 1.2835 13.4177
0.0000 -2.5670 13.4177
Cs Na Sr
1 2 1
Cartesian
0.0000 0.0000 0.0000 Cs
0.0000 0.0000 9.7639 Na
0.0000 0.0000 30.4891 Na
0.0000 0.0000 20.1265 Sr
```

N(E_F) (states/eV/atom): 0.93
ΔE to the lowest computed polymorph (meV/atom): 67
DFT total energy (eV per atom): -1.177
Symmetry: R-3m (166)
Energy of formation from the pure elements (eV per atom): 0.12
Total magnetization (μB per formula unit): 0.00